(one)
The following is a GGA-PBE calculation of CsTcBr3 after structural relaxation, from Alexandria.

symmetry = Pm-3m (221)
N(E_F) = 2.769 states/eV per cell

Cell: 5.4185 5.4185 5.4185 Å, 90.00 90.00 90.00°
Each line ends with the local moment (μB).
Sites, in units of the cell vectors:
Br 0.0000 0.5000 0.0000  0.05
Br 0.0000 0.0000 0.5000  0.06
Br 0.5000 0.0000 0.0000  0.09
Tc 0.0000 0.0000 0.0000  2.99
Cs 0.5000 0.5000 0.5000  0.00

***

(two)
The following is a GGA-PBE calculation of CsTcBr3 after structural relaxation, from Alexandria.

symmetry = Pm-3m (221)
N(E_F) = 8.848 states/eV per cell

Cell: 6.4692 6.4692 6.4692 Å, 90.00 90.00 90.00°
Each line ends with the local moment (μB).
Sites, in units of the cell vectors:
Tc 0.5000 0.5000 0.5000  4.39
Br 0.5000 0.0000 0.0000  0.07
Br 0.0000 0.5000 0.0000  0.12
Br 0.0000 0.0000 0.5000  0.30
Cs 0.0000 0.0000 0.0000  0.07

***

(three)
The following is a GGA-PBE calculation of CsTcBr3 after structural relaxation, from Alexandria.

symmetry = C2/m (12)

Cell: 5.2145 8.5696 9.8950 Å, 64.33 77.28 90.00°
Sites, in units of the cell vectors:
Cs 0.3199 0.7534 0.0498
Cs 0.6361 0.0924 0.3719
Br 0.8440 0.0763 0.9963
Br 0.8442 0.4843 0.9962
Br 0.1120 0.7696 0.4251
Br 0.4780 0.6155 0.7107
Br 0.1120 0.3616 0.4254
Br 0.4779 0.2305 0.7109
Tc 0.7918 0.3794 0.7980
Tc 0.1642 0.4666 0.6235

***

Most stable: (three). Least stable: (two).

***

(one)
The following is a GGA-PBE calculation of CsTcBr6 after structural relaxation, from Alexandria.

symmetry = C2/m (12)
N(E_F) = 6.946 states/eV per cell

Cell: 6.7474 6.7474 8.1683 Å, 102.20 106.11 114.08°
Each line ends with the local moment (μB).
Sites, in units of the cell vectors:
Br 0.2381 0.7988 0.0369  -0.04
Br 0.1325 0.1103 0.7581  0.03
Br 0.3521 0.3744 0.2419  0.03
Br 0.7619 0.2012 0.9630  -0.04
Br 0.8675 0.8897 0.2419  0.03
Br 0.6479 0.6256 0.7581  0.03
Cs 0.0000 0.5000 0.5000  0.00
Tc 0.0000 0.0000 0.0000  1.71

***

(two)
The following is a GGA-PBE calculation of CsTcBr6 after structural relaxation, from Alexandria.

symmetry = Fm-3m (225)
N(E_F) = 17.553 states/eV per cell

Cell: 8.6836 8.6836 8.6836 Å, 60.00 60.00 60.00°
Each line ends with the local moment (μB).
Sites, in units of the cell vectors:
Br 0.2030 0.7970 0.7970  0.04
Br 0.7970 0.7970 0.2030  0.04
Br 0.2030 0.2030 0.7970  0.04
Br 0.7970 0.2030 0.7970  0.04
Br 0.2030 0.7970 0.2030  0.04
Br 0.7970 0.2030 0.2030  0.04
Cs 0.5000 0.5000 0.5000  0.00
Tc 0.0000 0.0000 0.0000  1.44

***

Most stable: (one). Least stable: (two).

***

(one)
The following is a GGA-PBE calculation of Cs2TeBr after structural relaxation, from Alexandria.

symmetry = Fm-3m (225)
N(E_F) = 21.957 states/eV per cell

Cell: 6.4366 6.4366 6.4366 Å, 60.00 60.00 60.00°
Each line ends with the local moment (μB).
Sites, in units of the cell vectors:
Cs 0.2500 0.2500 0.2500  0.01
Cs 0.7500 0.7500 0.7500  0.01
Te 0.5000 0.5000 0.5000  0.42
Br 0.0000 0.0000 0.0000  0.07

***

(two)
The following is a GGA-PBE calculation of Cs2TeBr after structural relaxation, from Alexandria.

symmetry = I-42d (122)
N(E_F) = 1.929 states/eV per cell

Cell: 9.7917 9.7917 8.6004 Å, 55.30 55.30 90.00°
Each line ends with the local moment (μB).
Sites, in units of the cell vectors:
Cs 0.1526 0.6250 0.2500  0.00
Cs 0.8750 0.8474 0.7500  0.00
Cs 0.5974 0.1250 0.2500  0.00
Cs 0.3750 0.4026 0.7500  0.00
Br 0.2500 0.7500 0.5000  0.01
Br 0.5000 0.5000 0.0000  0.01
Te 0.7500 0.2500 0.5000  0.45
Te 0.0000 0.0000 0.0000  0.45

***

Most stable: (one). Least stable: (two).

***

(one)
The following is a GGA-PBE calculation of Cs3TeBr after structural relaxation, from Alexandria.

symmetry = Pm-3m (221)
N(E_F) = 0.000 states/eV per cell

Cell: 6.7024 6.7024 6.7024 Å, 90.00 90.00 90.00°
Sites, in units of the cell vectors:
Cs 0.5000 0.0000 0.0000
Cs 0.0000 0.0000 0.5000
Cs 0.0000 0.5000 0.0000
Te 0.5000 0.5000 0.5000
Br 0.0000 0.0000 0.0000

***

(two)
The following is a GGA-PBE calculation of Cs3TeBr after structural relaxation, from Alexandria.

symmetry = Imma (74)

Cell: 13.7195 13.7195 13.7195 Å, 153.52 97.50 88.53°
Sites, in units of the cell vectors:
Te 0.8416 0.8516 0.9899
Te 0.6383 0.1484 0.4899
Te 0.1584 0.1484 0.0101
Te 0.3617 0.8516 0.5101
Cs 0.7148 0.3271 0.3877
Cs 0.0634 0.6839 0.3796
Cs 0.4394 0.3271 0.1123
Cs 0.9366 0.3161 0.6204
Cs 0.5606 0.6729 0.8877
Cs 0.8784 0.0103 0.8681
Cs 0.3579 0.9897 0.3681
Cs 0.6421 0.0103 0.6319
Cs 0.8043 0.6839 0.1204
Cs 0.2852 0.6729 0.6123
Cs 0.1957 0.3161 0.8796
Cs 0.1216 0.9897 0.1319
Br 0.7212 0.4712 0.2500
Br 0.9169 0.1669 0.7500
Br 0.2788 0.5288 0.7500
Br 0.0831 0.8331 0.2500

***

Most stable: (two). Least stable: (one).

***

(one)
The following is a GGA-PBE calculation of CsTe2Br after structural relaxation, from Alexandria.

symmetry = Fm-3m (225)
N(E_F) = 4.138 states/eV per cell

Cell: 6.1924 6.1924 6.1924 Å, 60.00 60.00 60.00°
Each line ends with the local moment (μB).
Sites, in units of the cell vectors:
Te 0.7500 0.7500 0.7500  0.89
Te 0.2500 0.2500 0.2500  0.89
Cs 0.5000 0.5000 0.5000  0.05
Br 0.0000 0.0000 0.0000  0.47

***

(two)
The following is a GGA-PBE calculation of CsTe2Br after structural relaxation, from Alexandria.

symmetry = I-42d (122)
N(E_F) = 4.729 states/eV per cell

Cell: 4.9530 4.9530 17.7414 Å, 81.98 81.98 90.00°
Sites, in units of the cell vectors:
Te 0.3750 0.7575 0.7500
Te 0.2425 0.1250 0.2500
Te 0.5075 0.6250 0.2500
Te 0.8750 0.4925 0.7500
Br 0.5000 0.5000 0.0000
Br 0.2500 0.7500 0.5000
Cs 0.0000 0.0000 0.0000
Cs 0.7500 0.2500 0.5000

***

Most stable: (two). Least stable: (one).

***

(one)
The following is a GGA-PBE calculation of Cs3TiBr6 after structural relaxation, from Alexandria.

symmetry = R-3c (167)
N(E_F) = 13.388 states/eV per cell

Cell: 9.5873 9.5873 9.5873 Å, 88.55 88.55 88.55°
Each line ends with the local moment (μB).
Sites, in units of the cell vectors:
Br 0.7558 0.5752 0.4378  -0.01
Br 0.9248 0.7442 0.0622  -0.01
Br 0.4378 0.7558 0.5752  -0.01
Br 0.4248 0.5622 0.2442  -0.01
Br 0.2442 0.4248 0.5622  -0.01
Br 0.5752 0.4378 0.7558  -0.01
Br 0.0622 0.9248 0.7442  -0.01
Br 0.7442 0.0622 0.9248  -0.01
Br 0.2558 0.9378 0.0752  -0.01
Br 0.9378 0.0752 0.2558  -0.01
Br 0.0752 0.2558 0.9378  -0.01
Br 0.5622 0.2442 0.4248  -0.01
Cs 0.2500 0.6041 0.8959  0.00
Cs 0.7500 0.3959 0.1041  0.00
Cs 0.6041 0.8959 0.2500  0.00
Cs 0.1041 0.7500 0.3959  0.00
Cs 0.8959 0.2500 0.6041  0.00
Cs 0.3959 0.1041 0.7500  0.00
Ti 0.0000 0.0000 0.0000  0.91
Ti 0.5000 0.5000 0.5000  0.91

***

(two)
The following is a GGA-PBE calculation of Cs3TiBr6 after structural relaxation, from Alexandria.

symmetry = I4/mmm (139)
N(E_F) = 6.714 states/eV per cell

Cell: 8.7209 8.7209 8.7209 Å, 87.89 121.22 121.22°
Each line ends with the local moment (μB).
Sites, in units of the cell vectors:
Cs 0.0000 0.5000 0.5000  0.00
Cs 0.5000 0.2500 0.7500  0.00
Cs 0.5000 0.7500 0.2500  0.00
Br 0.7011 0.0000 0.7011  -0.01
Br 0.2989 0.0000 0.2989  -0.01
Br 0.7011 0.7011 0.0000  -0.01
Br 0.0000 0.7828 0.7828  -0.01
Br 0.2989 0.2989 0.0000  -0.01
Br 0.0000 0.2172 0.2172  -0.01
Ti 0.0000 0.0000 0.0000  0.92

***

Most stable: (one). Least stable: (two).

***

(one)
The following is a GGA-PBE calculation of Cs2TlBr2 after structural relaxation, from Alexandria.

symmetry = P4/mbm (127)
N(E_F) = 4.382 states/eV per cell

Cell: 9.5380 9.5380 4.8338 Å, 90.00 90.00 90.00°
Sites, in units of the cell vectors:
Cs 0.3483 0.8483 0.5000
Cs 0.8483 0.6517 0.5000
Cs 0.1517 0.3483 0.5000
Cs 0.6517 0.1517 0.5000
Tl 0.5000 0.5000 0.0000
Tl 0.0000 0.0000 0.0000
Br 0.1540 0.6540 0.0000
Br 0.8460 0.3460 0.0000
Br 0.3460 0.1540 0.0000
Br 0.6540 0.8460 0.0000

***

(two)
The following is a GGA-PBE calculation of Cs2TlBr2 after structural relaxation, from Alexandria.

symmetry = P4/mbm (127)
N(E_F) = 5.648 states/eV per cell

Cell: 10.4054 10.4054 4.1325 Å, 90.00 90.00 90.00°
Sites, in units of the cell vectors:
Cs 0.6446 0.1446 0.0000
Cs 0.8554 0.6446 0.0000
Cs 0.1446 0.3554 0.0000
Cs 0.3554 0.8554 0.0000
Br 0.8485 0.3485 0.5000
Br 0.6515 0.8485 0.5000
Br 0.3485 0.1515 0.5000
Br 0.1515 0.6515 0.5000
Tl 0.5000 0.5000 0.0000
Tl 0.0000 0.0000 0.0000

***

Most stable: (one). Least stable: (two).

***

(one)
The following is a GGA-PBE calculation of Cs2Tl2Br after structural relaxation, from Alexandria.

symmetry = I4/mmm (139)
N(E_F) = 1.042 states/eV per cell

Cell: 4.5020 4.5020 11.7177 Å, 78.92 78.92 90.00°
Sites, in units of the cell vectors:
Br 0.0000 0.0000 0.0000
Cs 0.5927 0.5927 0.8145
Cs 0.4073 0.4073 0.1855
Tl 0.7500 0.2500 0.5000
Tl 0.2500 0.7500 0.5000

***

(two)
The following is a GGA-PBE calculation of Cs2Tl2Br after structural relaxation, from Alexandria.

symmetry = P4/mbm (127)
N(E_F) = 10.243 states/eV per cell

Cell: 9.4732 9.4732 6.6227 Å, 90.00 90.00 90.00°
Each line ends with the local moment (μB).
Sites, in units of the cell vectors:
Br 0.0000 0.0000 0.0000  0.01
Br 0.5000 0.5000 0.0000  0.01
Tl 0.1140 0.3860 0.5000  0.10
Tl 0.3860 0.8860 0.5000  0.10
Tl 0.6140 0.1140 0.5000  0.10
Tl 0.8860 0.6140 0.5000  0.10
Cs 0.6877 0.8123 0.0000  0.02
Cs 0.8123 0.3123 0.0000  0.02
Cs 0.3123 0.1877 0.0000  0.02
Cs 0.1877 0.6877 0.0000  0.02

***

Most stable: (one). Least stable: (two).

***

(one)
The following is a GGA-PBE calculation of CsTl2Br after structural relaxation, from Alexandria.

symmetry = Fm-3m (225)
N(E_F) = 3.323 states/eV per cell

Cell: 6.0605 6.0605 6.0605 Å, 60.00 60.00 60.00°
Sites, in units of the cell vectors:
Tl 0.7500 0.7500 0.7500
Tl 0.2500 0.2500 0.2500
Cs 0.5000 0.5000 0.5000
Br 0.0000 0.0000 0.0000

***

(two)
The following is a GGA-PBE calculation of CsTl2Br after structural relaxation, from Alexandria.

symmetry = I-42d (122)
N(E_F) = 4.414 states/eV per cell

Cell: 4.8606 4.8606 14.9523 Å, 80.65 80.65 90.00°
Sites, in units of the cell vectors:
Cs 0.7500 0.2500 0.5000
Cs 0.0000 0.0000 0.0000
Tl 0.6117 0.1250 0.2500
Tl 0.3750 0.3883 0.7500
Tl 0.8750 0.8617 0.7500
Tl 0.1383 0.6250 0.2500
Br 0.2500 0.7500 0.5000
Br 0.5000 0.5000 0.0000

***

Most stable: (two). Least stable: (one).

***

(one)
The following is a GGA-PBE calculation of Cs2TlBr3 after structural relaxation, from Alexandria.

symmetry = C2/m (12)
N(E_F) = 0.000 states/eV per cell

Cell: 8.7905 8.7905 8.7658 Å, 99.66 99.66 120.00°
Sites, in units of the cell vectors:
Br 0.7589 0.7450 0.2348
Br 0.9078 0.5883 0.7652
Br 0.2550 0.2411 0.7652
Br 0.6024 0.9357 0.7660
Br 0.4117 0.0922 0.2348
Br 0.0643 0.3976 0.2340
Tl 0.6658 0.3342 0.0000
Tl 0.0008 0.9992 0.0000
Cs 0.1686 0.8314 0.5000
Cs 0.4980 0.5020 0.5000
Cs 0.3333 0.6667 0.0000
Cs 0.8334 0.1666 0.5000

***

(two)
The following is a GGA-PBE calculation of Cs2TlBr3 after structural relaxation, from Alexandria.

symmetry = Cmcm (63)
N(E_F) = 0.000 states/eV per cell

Cell: 4.7251 8.8441 13.5168 Å, 90.00 100.07 90.00°
Sites, in units of the cell vectors:
Cs 0.0104 0.2500 0.0209
Cs 0.8439 0.2500 0.6877
Cs 0.1561 0.7500 0.3123
Cs 0.9896 0.7500 0.9791
Br 0.2421 0.2500 0.4843
Br 0.7579 0.7500 0.5157
Br 0.5785 0.5146 0.1569
Br 0.4215 0.4854 0.8431
Br 0.4215 0.0146 0.8431
Br 0.5785 0.9854 0.1569
Tl 0.6641 0.2500 0.3282
Tl 0.3359 0.7500 0.6718

***

Most stable: (one). Least stable: (two).

***

(one)
The following is a GGA-PBE calculation of Cs2UBr7 after structural relaxation, from Alexandria.

symmetry = Fm-3m (225)

Cell: 8.6917 8.6917 8.6917 Å, 60.00 60.00 60.00°
Each line ends with the local moment (μB).
Sites, in units of the cell vectors:
U 0.0000 0.0000 0.0000  1.36
Br 0.7786 0.7786 0.2214  -0.04
Br 0.2214 0.7786 0.2214  -0.04
Br 0.7786 0.2214 0.7786  -0.04
Br 0.7786 0.2214 0.2214  -0.04
Br 0.2214 0.2214 0.7786  -0.04
Br 0.2214 0.7786 0.7786  -0.04
Br 0.5000 0.5000 0.5000  -0.21
Cs 0.7500 0.7500 0.7500  0.00
Cs 0.2500 0.2500 0.2500  0.00

***

(two)
The following is a GGA-PBE calculation of Cs2UBr7 after structural relaxation, from Alexandria.

symmetry = C2/c (15)
N(E_F) = 1.729 states/eV per cell

Cell: 8.9606 10.8197 10.7606 Å, 84.62 65.39 65.54°
Each line ends with the local moment (μB).
Sites, in units of the cell vectors:
Br 0.7775 0.5192 0.8341  -0.04
Br 0.8692 0.0192 0.3341  -0.04
Br 0.6862 0.7515 0.4209  -0.01
Br 0.2228 0.8178 0.9896  -0.04
Br 0.6454 0.2500 0.7500  -0.04
Br 0.8587 0.7485 0.0791  -0.01
Br 0.2225 0.4808 0.1659  -0.04
Br 0.1413 0.2515 0.9209  -0.01
Br 0.3138 0.2485 0.5791  -0.01
Br 0.3546 0.7500 0.2500  -0.04
Br 0.9698 0.3178 0.4896  -0.04
Br 0.0302 0.6822 0.5104  -0.04
Br 0.1308 0.9808 0.6659  -0.04
Br 0.7772 0.1822 0.0104  -0.04
Cs 0.4323 0.0525 0.2741  0.00
Cs 0.7589 0.4475 0.2259  0.00
Cs 0.5677 0.9475 0.7259  0.00
Cs 0.2411 0.5525 0.7741  0.00
U 0.9567 0.2500 0.7500  1.24
U 0.0433 0.7500 0.2500  1.24

***

Most stable: (two). Least stable: (one).